[1]
ZnH6Cl2O3 after structural relaxation, computed with GGA-PBEsol.

Geometry as CIF:
```
data_ZnH6Cl2O3
_space_group_name_H-M_alt 'P -1'
_space_group_IT_number 2
_cell_length_a 6.4127
_cell_length_b 6.6223
_cell_length_c 13.8552
_cell_angle_alpha 91.74
_cell_angle_beta 101.14
_cell_angle_gamma 97.66
loop_
_space_group_symop_operation_xyz
'x,y,z'
'-x,-y,-z'
loop_
_atom_site_label
_atom_site_type_symbol
_atom_site_fract_x
_atom_site_fract_y
_atom_site_fract_z
_atom_site_occupancy
Zn1 Zn 0.0000 0.0000 0.0000 1
Zn2 Zn 0.0000 0.0000 0.5000 1
Zn3 Zn 0.3667 0.6001 0.2610 1
H1 H 0.0019 0.8925 0.1927 1
H2 H 0.0352 0.6405 0.3944 1
H3 H 0.0631 0.8260 0.6772 1
H4 H 0.0742 0.6707 0.9028 1
H5 H 0.1753 0.6425 0.5034 1
H6 H 0.2043 0.6658 0.0131 1
H7 H 0.2235 0.2021 0.8720 1
H8 H 0.2741 0.9742 0.6689 1
H9 H 0.3501 0.0502 0.1422 1
H10 H 0.3545 0.2523 0.0839 1
H11 H 0.3555 0.2643 0.5139 1
H12 H 0.3575 0.0866 0.4322 1
Cl1 Cl 0.0211 0.4596 0.2531 1
Cl2 Cl 0.3766 0.9449 0.2853 1
Cl3 Cl 0.4257 0.5309 0.6150 1
Cl4 Cl 0.4720 0.5695 0.1155 1
O1 O 0.0684 0.7110 0.4606 1
O2 O 0.0772 0.7126 0.9722 1
O3 O 0.1001 0.0938 0.8687 1
O4 O 0.1153 0.9554 0.6499 1
O5 O 0.3076 0.1181 0.4933 1
O6 O 0.3100 0.1023 0.0758 1
```

Results
crystal system = triclinic
electronic total energy = -4.48 eV/atom

***

[2]
HOs3Cl after structural relaxation, computed with GGA-PBEsol.

Geometry as CIF:
```
data_HOs3Cl
_space_group_name_H-M_alt 'P m -3 m'
_space_group_IT_number 221
_space_group_name_Hall '-P 4 2 3'
_cell_length_a 4.2753
_cell_length_b 4.2753
_cell_length_c 4.2753
_cell_angle_alpha 90.00
_cell_angle_beta 90.00
_cell_angle_gamma 90.00
loop_
_atom_site_label
_atom_site_type_symbol
_atom_site_fract_x
_atom_site_fract_y
_atom_site_fract_z
_atom_site_occupancy
H1 H 0.0000 0.0000 0.0000 1
Os1 Os 0.0000 0.5000 0.5000 1
Cl1 Cl 0.5000 0.5000 0.5000 1
```

Results
crystal system = cubic
electronic total energy = -5.69 eV/atom

***

The lowest electronic total energy belongs to which entry? HOs3Cl

***

Which of these has the highest electronic total energy? ZnH6Cl2O3